# PBE+U V3Cr2CuP6O24, relaxed
data_V3Cr2CuP6O24
_space_group_name_H-M_alt 'P 1'
_space_group_IT_number 1
_cell_length_a 8.458
_cell_length_b 8.458
_cell_length_c 8.458
_cell_angle_alpha 61.38
_cell_angle_beta 61.38
_cell_angle_gamma 61.38
loop_
_space_group_symop_operation_xyz
'x,y,z'
loop_
_atom_site_label
_atom_site_type_symbol
_atom_site_fract_x
_atom_site_fract_y
_atom_site_fract_z
V1 V 0.000 0.000 0.000
V2 V 0.212 0.212 0.212
V3 V 0.503 0.503 0.503
Cr1 Cr 0.357 0.357 0.357
Cr2 Cr 0.854 0.854 0.854
Cu1 Cu 0.709 0.709 0.709
P1 P 0.109 0.812 0.404
P2 P 0.309 0.610 0.904
P3 P 0.404 0.109 0.812
P4 P 0.610 0.904 0.309
P5 P 0.812 0.404 0.109
P6 P 0.904 0.309 0.610
O1 O 0.047 0.848 0.246
O2 O 0.105 0.286 0.448
O3 O 0.105 0.762 0.914
O4 O 0.190 0.967 0.350
O5 O 0.246 0.047 0.848
O6 O 0.268 0.610 0.426
O7 O 0.286 0.448 0.105
O8 O 0.350 0.190 0.967
O9 O 0.359 0.538 0.744
O10 O 0.426 0.268 0.610
O11 O 0.448 0.105 0.286
O12 O 0.455 0.680 0.878
O13 O 0.538 0.744 0.359
O14 O 0.601 0.954 0.809
O15 O 0.610 0.426 0.268
O16 O 0.680 0.878 0.455
O17 O 0.744 0.359 0.538
O18 O 0.762 0.914 0.105
O19 O 0.809 0.601 0.954
O20 O 0.848 0.246 0.047
O21 O 0.878 0.455 0.680
O22 O 0.914 0.105 0.762
O23 O 0.954 0.809 0.601
O24 O 0.967 0.350 0.190
# Density, g/cm³: 3.4

=====

# PBE+U PaCrCuO5, relaxed
data_PaCrCuO5
_space_group_name_H-M_alt 'P 1'
_space_group_IT_number 1
_cell_length_a 5.667
_cell_length_b 5.667
_cell_length_c 7.707
_cell_angle_alpha 103.88
_cell_angle_beta 103.88
_cell_angle_gamma 108.14
loop_
_space_group_symop_operation_xyz
'x,y,z'
loop_
_atom_site_label
_atom_site_type_symbol
_atom_site_fract_x
_atom_site_fract_y
_atom_site_fract_z
Pa1 Pa 0.000 0.000 0.000
Pa2 Pa 0.000 0.000 0.500
Cr1 Cr 0.357 0.643 0.750
Cr2 Cr 0.643 0.357 0.250
Cu1 Cu 0.315 0.685 0.250
Cu2 Cu 0.685 0.315 0.750
O1 O 0.015 0.345 0.713
O2 O 0.137 0.863 0.750
O3 O 0.321 0.371 0.083
O4 O 0.345 0.015 0.213
O5 O 0.371 0.321 0.583
O6 O 0.629 0.679 0.417
O7 O 0.655 0.985 0.787
O8 O 0.679 0.629 0.917
O9 O 0.863 0.137 0.250
O10 O 0.985 0.655 0.287
# Density, g/cm³: 6.6

=====

# PBE+U CrCu2Pb2O6, relaxed
data_CrCu2Pb2O6
_space_group_name_H-M_alt 'P 1'
_space_group_IT_number 1
_cell_length_a 6.161
_cell_length_b 6.161
_cell_length_c 6.161
_cell_angle_alpha 56.33
_cell_angle_beta 56.33
_cell_angle_gamma 56.33
loop_
_space_group_symop_operation_xyz
'x,y,z'
loop_
_atom_site_label
_atom_site_type_symbol
_atom_site_fract_x
_atom_site_fract_y
_atom_site_fract_z
Cr1 Cr 0.000 0.000 0.000
Cu1 Cu 0.409 0.409 0.409
Cu2 Cu 0.591 0.591 0.591
Pb1 Pb 0.206 0.206 0.206
Pb2 Pb 0.794 0.794 0.794
O1 O 0.218 0.767 0.767
O2 O 0.233 0.233 0.782
O3 O 0.233 0.782 0.233
O4 O 0.767 0.218 0.767
O5 O 0.767 0.767 0.218
O6 O 0.782 0.233 0.233
# Density, g/cm³: 7.6

=====

# PBE+U CrCuPbO4, relaxed
data_CrCuPbO4
_space_group_name_H-M_alt 'P 1'
_space_group_IT_number 1
_cell_length_a 5.366
_cell_length_b 5.242
_cell_length_c 6.664
_cell_angle_alpha 90.00
_cell_angle_beta 93.15
_cell_angle_gamma 90.00
loop_
_space_group_symop_operation_xyz
'x,y,z'
loop_
_atom_site_label
_atom_site_type_symbol
_atom_site_fract_x
_atom_site_fract_y
_atom_site_fract_z
Cr1 Cr 0.167 0.250 0.467
Cr2 Cr 0.833 0.750 0.533
Cu1 Cu 0.343 0.750 0.699
Cu2 Cu 0.657 0.250 0.301
Pb1 Pb 0.236 0.750 0.142
Pb2 Pb 0.764 0.250 0.858
O1 O 0.065 0.003 0.675
O2 O 0.065 0.497 0.675
O3 O 0.322 0.250 0.208
O4 O 0.499 0.750 0.423
O5 O 0.501 0.250 0.577
O6 O 0.678 0.750 0.792
O7 O 0.935 0.503 0.325
O8 O 0.935 0.997 0.325
# Density, g/cm³: 6.9

=====

# PBE+U Cr6CuSi2Pb10O34, relaxed
data_Cr6CuSi2Pb10O34
_space_group_name_H-M_alt 'P 1'
_space_group_IT_number 1
_cell_length_a 10.067
_cell_length_b 10.190
_cell_length_c 10.240
_cell_angle_alpha 63.00
_cell_angle_beta 69.86
_cell_angle_gamma 66.67
loop_
_space_group_symop_operation_xyz
'x,y,z'
loop_
_atom_site_label
_atom_site_type_symbol
_atom_site_fract_x
_atom_site_fract_y
_atom_site_fract_z
Cr1 Cr 0.042 0.152 0.286
Cr2 Cr 0.225 0.327 0.493
Cr3 Cr 0.269 0.664 0.006
Cr4 Cr 0.731 0.336 0.994
Cr5 Cr 0.775 0.673 0.507
Cr6 Cr 0.958 0.848 0.714
Cu1 Cu 0.500 0.500 0.500
Si1 Si 0.480 0.829 0.205
Si2 Si 0.520 0.171 0.795
Pb1 Pb 0.133 0.749 0.324
Pb2 Pb 0.182 0.473 0.788
Pb3 Pb 0.248 0.032 0.922
Pb4 Pb 0.356 0.826 0.573
Pb5 Pb 0.361 0.241 0.165
Pb6 Pb 0.639 0.759 0.835
Pb7 Pb 0.644 0.174 0.427
Pb8 Pb 0.752 0.968 0.078
Pb9 Pb 0.818 0.527 0.212
Pb10 Pb 0.867 0.251 0.676
O1 O 0.009 0.022 0.255
O2 O 0.080 0.292 0.126
O3 O 0.111 0.770 0.606
O4 O 0.115 0.412 0.373
O5 O 0.118 0.778 0.080
O6 O 0.142 0.221 0.657
O7 O 0.189 0.075 0.365
O8 O 0.223 0.562 0.948
O9 O 0.257 0.462 0.519
O10 O 0.333 0.866 0.145
O11 O 0.362 0.239 0.897
O12 O 0.364 0.784 0.860
O13 O 0.367 0.544 0.133
O14 O 0.385 0.215 0.423
O15 O 0.396 0.554 0.660
O16 O 0.451 0.713 0.385
O17 O 0.499 0.019 0.793
O18 O 0.501 0.981 0.207
O19 O 0.549 0.287 0.615
O20 O 0.604 0.446 0.340
O21 O 0.615 0.785 0.577
O22 O 0.633 0.456 0.867
O23 O 0.636 0.216 0.140
O24 O 0.638 0.761 0.103
O25 O 0.667 0.134 0.855
O26 O 0.743 0.538 0.481
O27 O 0.777 0.438 0.052
O28 O 0.811 0.925 0.635
O29 O 0.858 0.779 0.343
O30 O 0.882 0.222 0.920
O31 O 0.885 0.588 0.627
O32 O 0.889 0.230 0.394
O33 O 0.920 0.708 0.874
O34 O 0.991 0.978 0.745
# Density, g/cm³: 6.0

=====

# PBE+U Pm2CrCuO6, relaxed
data_Pm2CrCuO6
_space_group_name_H-M_alt 'P 1'
_space_group_IT_number 1
_cell_length_a 5.450
_cell_length_b 5.450
_cell_length_c 3.992
_cell_angle_alpha 90.00
_cell_angle_beta 90.00
_cell_angle_gamma 90.00
loop_
_space_group_symop_operation_xyz
'x,y,z'
loop_
_atom_site_label
_atom_site_type_symbol
_atom_site_fract_x
_atom_site_fract_y
_atom_site_fract_z
Pm1 Pm 0.000 0.500 0.000
Pm2 Pm 0.500 0.000 0.000
Cr1 Cr 0.000 0.000 0.557
Cu1 Cu 0.500 0.500 0.571
O1 O 0.000 0.000 0.078
O2 O 0.249 0.249 0.620
O3 O 0.249 0.751 0.620
O4 O 0.500 0.500 0.085
O5 O 0.751 0.249 0.620
O6 O 0.751 0.751 0.620
# Density, g/cm³: 7.0

=====

# PBE+U PmCr2CuO8, relaxed
data_PmCr2CuO8
_space_group_name_H-M_alt 'P 1'
_space_group_IT_number 1
_cell_length_a 5.969
_cell_length_b 5.969
_cell_length_c 5.969
_cell_angle_alpha 106.73
_cell_angle_beta 106.73
_cell_angle_gamma 115.10
loop_
_space_group_symop_operation_xyz
'x,y,z'
loop_
_atom_site_label
_atom_site_type_symbol
_atom_site_fract_x
_atom_site_fract_y
_atom_site_fract_z
Pm1 Pm 0.000 0.000 0.000
Cr1 Cr 0.250 0.750 0.500
Cr2 Cr 0.500 0.500 0.000
Cu1 Cu 0.750 0.250 0.500
O1 O 0.093 0.408 0.315
O2 O 0.093 0.778 0.685
O3 O 0.150 0.337 0.813
O4 O 0.222 0.907 0.315
O5 O 0.523 0.337 0.187
O6 O 0.592 0.907 0.685
O7 O 0.663 0.477 0.813
O8 O 0.663 0.850 0.187
# Density, g/cm³: 4.5

=====

# PBE+U PrCr4Cu3O12, relaxed
data_PrCr4Cu3O12
_space_group_name_H-M_alt 'P 1'
_space_group_IT_number 1
_cell_length_a 6.443
_cell_length_b 6.443
_cell_length_c 6.443
_cell_angle_alpha 109.47
_cell_angle_beta 109.47
_cell_angle_gamma 109.47
loop_
_space_group_symop_operation_xyz
'x,y,z'
loop_
_atom_site_label
_atom_site_type_symbol
_atom_site_fract_x
_atom_site_fract_y
_atom_site_fract_z
Pr1 Pr 0.000 0.000 0.000
Cr1 Cr 0.000 0.000 0.500
Cr2 Cr 0.000 0.500 0.000
Cr3 Cr 0.500 0.000 0.000
Cr4 Cr 0.500 0.500 0.500
Cu1 Cu 0.000 0.500 0.500
Cu2 Cu 0.500 0.000 0.500
Cu3 Cu 0.500 0.500 0.000
O1 O 0.142 0.310 0.832
O2 O 0.168 0.478 0.310
O3 O 0.168 0.858 0.690
O4 O 0.310 0.168 0.478
O5 O 0.310 0.832 0.142
O6 O 0.478 0.310 0.168
O7 O 0.522 0.690 0.832
O8 O 0.690 0.168 0.858
O9 O 0.690 0.832 0.522
O10 O 0.832 0.142 0.310
O11 O 0.832 0.522 0.690
O12 O 0.858 0.690 0.168
# Density, g/cm³: 5.9

=====

# PBE+U CrCu2PtO, relaxed
data_CrCu2PtO
_space_group_name_H-M_alt 'P 1'
_space_group_IT_number 1
_cell_length_a 4.025
_cell_length_b 4.025
_cell_length_c 3.999
_cell_angle_alpha 90.00
_cell_angle_beta 90.00
_cell_angle_gamma 90.00
loop_
_space_group_symop_operation_xyz
'x,y,z'
loop_
_atom_site_label
_atom_site_type_symbol
_atom_site_fract_x
_atom_site_fract_y
_atom_site_fract_z
Cr1 Cr 0.000 0.000 0.000
Cu1 Cu 0.000 0.500 0.500
Cu2 Cu 0.500 0.000 0.500
Pt1 Pt 0.500 0.500 0.000
O1 O 0.000 0.000 0.500
# Density, g/cm³: 10.0

=====

# PBE+U PuCrCu2O8, relaxed
data_PuCrCu2O8
_space_group_name_H-M_alt 'P 1'
_space_group_IT_number 1
_cell_length_a 5.739
_cell_length_b 5.739
_cell_length_c 5.739
_cell_angle_alpha 113.47
_cell_angle_beta 113.47
_cell_angle_gamma 101.73
loop_
_space_group_symop_operation_xyz
'x,y,z'
loop_
_atom_site_label
_atom_site_type_symbol
_atom_site_fract_x
_atom_site_fract_y
_atom_site_fract_z
Pu1 Pu 0.000 0.000 0.000
Cr1 Cr 0.250 0.750 0.500
Cu1 Cu 0.500 0.500 0.000
Cu2 Cu 0.750 0.250 0.500
O1 O 0.315 0.094 0.779
O2 O 0.315 0.535 0.221
O3 O 0.351 0.054 0.297
O4 O 0.465 0.685 0.779
O5 O 0.757 0.054 0.703
O6 O 0.906 0.685 0.221
O7 O 0.946 0.243 0.297
O8 O 0.946 0.649 0.703
# Density, g/cm³: 6.4

=====

# PBE+U PuCrCuO5, relaxed
data_PuCrCuO5
_space_group_name_H-M_alt 'P 1'
_space_group_IT_number 1
_cell_length_a 5.611
_cell_length_b 5.611
_cell_length_c 7.564
_cell_angle_alpha 102.65
_cell_angle_beta 102.65
_cell_angle_gamma 108.42
loop_
_space_group_symop_operation_xyz
'x,y,z'
loop_
_atom_site_label
_atom_site_type_symbol
_atom_site_fract_x
_atom_site_fract_y
_atom_site_fract_z
Pu1 Pu 0.000 0.500 0.000
Pu2 Pu 0.500 0.000 0.500
Cr1 Cr 0.100 0.900 0.750
Cr2 Cr 0.900 0.100 0.250
Cu1 Cu 0.435 0.565 0.750
Cu2 Cu 0.565 0.435 0.250
O1 O 0.117 0.883 0.250
O2 O 0.189 0.347 0.181
O3 O 0.255 0.707 0.574
O4 O 0.293 0.745 0.926
O5 O 0.347 0.189 0.681
O6 O 0.653 0.811 0.319
O7 O 0.707 0.255 0.074
O8 O 0.745 0.293 0.426
O9 O 0.811 0.653 0.819
O10 O 0.883 0.117 0.750
# Density, g/cm³: 7.0

=====

# PBE+U RbCrCuO2, relaxed
data_RbCrCuO2
_space_group_name_H-M_alt 'P 1'
_space_group_IT_number 1
_cell_length_a 4.135
_cell_length_b 4.135
_cell_length_c 4.698
_cell_angle_alpha 90.00
_cell_angle_beta 90.00
_cell_angle_gamma 90.00
loop_
_space_group_symop_operation_xyz
'x,y,z'
loop_
_atom_site_label
_atom_site_type_symbol
_atom_site_fract_x
_atom_site_fract_y
_atom_site_fract_z
Rb1 Rb 0.000 0.000 0.000
Cr1 Cr 0.500 0.500 0.000
Cu1 Cu 0.500 0.500 0.500
O1 O 0.000 0.500 0.500
O2 O 0.500 0.000 0.500
# Density, g/cm³: 4.8

=====

Summary of raw total energy in eV/atom
-7.358 -7.763 -5.733 -5.978 -6.382 -7.273 -6.849 -6.939 -5.649 -6.908 -8.097 -4.396
(order as listed above)